Version a
First-principles (GGA-PBE) data for a relaxed CaAlS3 crystal, as listed in Alexandria via LeMat-Bulk.

The structure in POSCAR format:
```
CaAlS3
1.0
4.674 0.000 0.000
0.000 4.674 0.000
0.000 0.000 4.674
Ca Al S
1 1 3
direct
0.000 0.000 0.000
0.500 0.500 0.500
0.000 0.500 0.500
0.500 0.000 0.500
0.500 0.500 0.000
```

D(E_F), states/eV per atom: 0.44

---

Version b
First-principles (GGA-PBE) data for a relaxed CaAlS3 crystal, as listed in Alexandria via LeMat-Bulk.

The structure in POSCAR format:
```
CaAlS3
1.0
5.303 0.000 0.000
0.000 5.303 0.000
0.000 0.000 5.303
Ca Al S
1 1 3
direct
0.000 0.000 0.000
0.500 0.500 0.500
0.000 0.000 0.500
0.000 0.500 0.000
0.500 0.000 0.000
```

D(E_F), states/eV per atom: 0.74

---

Stability summary: most stable version a, least stable version b.

---

Version a
First-principles (GGA-PBE) data for a relaxed Ca3AlSb3 crystal, as listed in Alexandria via LeMat-Bulk.

The structure in POSCAR format:
```
Ca3AlSb3
1.0
9.924 -3.344 0.000
9.924 3.344 0.000
0.000 0.000 13.052
Ca Al Sb
12 4 12
direct
0.023 0.622 0.128
0.122 0.523 0.628
0.193 0.807 0.855
0.307 0.693 0.355
0.378 0.977 0.128
0.477 0.878 0.628
0.523 0.122 0.372
0.622 0.023 0.872
0.693 0.307 0.645
0.807 0.193 0.145
0.878 0.477 0.372
0.977 0.378 0.872
0.087 0.087 0.500
0.413 0.413 0.000
0.587 0.587 0.000
0.913 0.913 0.500
0.061 0.615 0.374
0.115 0.561 0.874
0.222 0.778 0.613
0.278 0.722 0.113
0.385 0.939 0.374
0.439 0.885 0.874
0.561 0.115 0.126
0.615 0.061 0.626
0.722 0.278 0.887
0.778 0.222 0.387
0.885 0.439 0.126
0.939 0.385 0.626
```

D(E_F), states/eV per atom: 0.00

---

Version b
First-principles (GGA-PBE) data for a relaxed Ca3AlSb3 crystal, as listed in Alexandria via LeMat-Bulk.

The structure in POSCAR format:
```
Ca3AlSb3
1.0
12.961 0.000 0.000
0.000 4.525 0.000
0.000 0.000 14.332
Ca Al Sb
12 4 12
direct
0.058 0.250 0.112
0.150 0.750 0.497
0.228 0.750 0.779
0.272 0.250 0.279
0.350 0.250 0.997
0.442 0.750 0.612
0.558 0.250 0.388
0.650 0.750 0.003
0.728 0.750 0.721
0.772 0.250 0.221
0.850 0.250 0.503
0.942 0.750 0.888
0.068 0.250 0.703
0.432 0.750 0.203
0.568 0.250 0.797
0.932 0.750 0.297
0.040 0.250 0.350
0.114 0.250 0.891
0.243 0.750 0.119
0.257 0.250 0.619
0.386 0.750 0.391
0.460 0.750 0.850
0.540 0.250 0.150
0.614 0.250 0.609
0.743 0.750 0.381
0.757 0.250 0.881
0.886 0.750 0.109
0.960 0.750 0.650
```

D(E_F), states/eV per atom: 0.01

---

Stability summary: most stable version b, least stable version a.

---

Version a
First-principles (GGA-PBE) data for a relaxed Ca2AlSb2 crystal, as listed in Alexandria via LeMat-Bulk.

The structure in POSCAR format:
```
Ca2AlSb2
1.0
9.171 0.000 0.000
0.000 9.171 0.000
0.000 0.000 3.499
Ca Al Sb
4 2 4
direct
0.136 0.364 0.000
0.364 0.864 0.000
0.636 0.136 0.000
0.864 0.636 0.000
0.000 0.000 0.000
0.500 0.500 0.000
0.165 0.665 0.500
0.335 0.165 0.500
0.665 0.835 0.500
0.835 0.335 0.500
```

D(E_F), states/eV per atom: 0.26

---

Version b
First-principles (GGA-PBE) data for a relaxed Ca2AlSb2 crystal, as listed in Alexandria via LeMat-Bulk.

The structure in POSCAR format:
```
Ca2AlSb2
1.0
7.846 0.000 0.000
0.000 7.846 0.000
0.000 0.000 4.508
Ca Al Sb
4 2 4
direct
0.160 0.340 0.000
0.340 0.840 0.000
0.660 0.160 0.000
0.840 0.660 0.000
0.000 0.000 0.500
0.500 0.500 0.500
0.150 0.650 0.500
0.350 0.150 0.500
0.650 0.850 0.500
0.850 0.350 0.500
```

D(E_F), states/eV per atom: 0.56

---

Stability summary: most stable version b, least stable version a.

---

Version a
First-principles (GGA-PBE) data for a relaxed CaAlSbTe2 crystal, as listed in Alexandria via LeMat-Bulk.

The structure in POSCAR format:
```
CaAlSbTe2
1.0
5.532 0.000 0.000
0.000 5.532 0.000
0.000 0.000 5.165
Ca Al Sb Te
1 1 1 2
direct
0.000 0.000 0.000
0.500 0.500 0.500
0.500 0.500 0.000
0.000 0.500 0.500
0.500 0.000 0.500
```

D(E_F), states/eV per atom: 1.12

---

Version b
First-principles (GGA-PBE) data for a relaxed CaAlSbTe2 crystal, as listed in Alexandria via LeMat-Bulk.

The structure in POSCAR format:
```
CaAlSbTe2
1.0
5.848 0.000 0.000
0.000 5.848 0.000
0.000 0.000 5.769
Ca Al Sb Te
1 1 1 2
direct
0.000 0.000 0.000
0.500 0.500 0.500
0.000 0.000 0.500
0.000 0.500 0.000
0.500 0.000 0.000
```

D(E_F), states/eV per atom: 1.01

---

Stability summary: most stable version a, least stable version b.

---

Version a
First-principles (GGA-PBE) data for a relaxed CaAlSb2Te crystal, as listed in Alexandria via LeMat-Bulk.

The structure in POSCAR format:
```
CaAlSb2Te
1.0
5.282 0.000 0.000
0.000 5.282 0.000
0.000 0.000 5.579
Ca Al Sb Te
1 1 2 1
direct
0.000 0.000 0.000
0.500 0.500 0.500
0.000 0.500 0.500
0.500 0.000 0.500
0.500 0.500 0.000
```

D(E_F), states/eV per atom: 1.08

---

Version b
First-principles (GGA-PBE) data for a relaxed CaAlSb2Te crystal, as listed in Alexandria via LeMat-Bulk.

The structure in POSCAR format:
```
CaAlSb2Te
1.0
5.786 0.000 0.000
0.000 5.786 0.000
0.000 0.000 5.756
Ca Al Sb Te
1 1 2 1
direct
0.000 0.000 0.000
0.500 0.500 0.500
0.000 0.500 0.000
0.500 0.000 0.000
0.000 0.000 0.500
```

D(E_F), states/eV per atom: 1.06

---

Stability summary: most stable version a, least stable version b.

---

Version a
First-principles (GGA-PBE) data for a relaxed Ca3ScAl8 crystal, as listed in Alexandria via LeMat-Bulk.

The structure in POSCAR format:
```
Ca3ScAl8
1.0
5.599 0.000 0.000
-2.799 4.849 0.000
0.000 0.000 9.083
Ca Sc Al
3 1 8
direct
0.000 0.000 0.000
0.000 0.000 0.369
0.333 0.667 0.865
0.333 0.667 0.502
0.010 0.505 0.190
0.326 0.163 0.677
0.495 0.505 0.190
0.495 0.990 0.190
0.667 0.333 0.434
0.667 0.333 0.932
0.837 0.163 0.677
0.837 0.674 0.677
```

D(E_F), states/eV per atom: 0.53

---

Version b
First-principles (GGA-PBE) data for a relaxed Ca3ScAl8 crystal, as listed in Alexandria via LeMat-Bulk.

The structure in POSCAR format:
```
Ca3ScAl8
1.0
2.786 1.609 9.161
-2.786 1.609 9.161
0.000 -3.217 9.161
Ca Sc Al
3 1 8
direct
0.000 0.000 0.000
0.126 0.126 0.126
0.502 0.502 0.502
0.626 0.626 0.626
0.059 0.563 0.563
0.065 0.065 0.566
0.065 0.566 0.065
0.313 0.313 0.313
0.563 0.059 0.563
0.563 0.563 0.059
0.566 0.065 0.065
0.813 0.813 0.813
```

D(E_F), states/eV per atom: 0.48

---

Stability summary: most stable version b, least stable version a.

---

Version a
First-principles (GGA-PBE) data for a relaxed Ca3SmAl8 crystal, as listed in Alexandria via LeMat-Bulk.

The structure in POSCAR format:
```
Ca3SmAl8
1.0
5.672 0.000 0.000
-2.836 4.912 0.000
0.000 0.000 9.193
Ca Sm Al
3 1 8
direct
0.000 0.000 0.000
0.000 0.000 0.366
0.333 0.667 0.868
0.333 0.667 0.501
0.009 0.504 0.185
0.326 0.163 0.682
0.496 0.504 0.185
0.496 0.991 0.185
0.667 0.333 0.435
0.667 0.333 0.936
0.837 0.163 0.682
0.837 0.674 0.682
```

D(E_F), states/eV per atom: 0.55

---

Version b
First-principles (GGA-PBE) data for a relaxed Ca3SmAl8 crystal, as listed in Alexandria via LeMat-Bulk.

The structure in POSCAR format:
```
Ca3SmAl8
1.0
2.821 1.629 9.275
-2.821 1.629 9.275
0.000 -3.258 9.275
Ca Sm Al
3 1 8
direct
0.000 0.000 0.000
0.125 0.125 0.125
0.625 0.625 0.625
0.500 0.500 0.500
0.062 0.062 0.561
0.062 0.561 0.062
0.065 0.562 0.562
0.313 0.313 0.313
0.561 0.062 0.062
0.562 0.065 0.562
0.562 0.562 0.065
0.813 0.813 0.813
```

D(E_F), states/eV per atom: 0.41

---

Stability summary: most stable version b, least stable version a.

---

Version a
First-principles (GGA-PBE) data for a relaxed CaSm2Al crystal, as listed in Alexandria via LeMat-Bulk.

The structure in POSCAR format:
```
CaSm2Al
1.0
4.962 0.000 0.000
0.000 4.962 0.000
0.000 0.000 4.752
Ca Sm Al
1 2 1
direct
0.000 0.000 0.000
0.000 0.500 0.500
0.500 0.000 0.500
0.500 0.500 0.000
```

D(E_F), states/eV per atom: 1.04

---

Version b
First-principles (GGA-PBE) data for a relaxed CaSm2Al crystal, as listed in Alexandria via LeMat-Bulk.

The structure in POSCAR format:
```
CaSm2Al
1.0
0.000 3.867 3.867
3.867 0.000 3.867
3.867 3.867 0.000
Ca Sm Al
1 2 1
direct
0.000 0.000 0.000
0.250 0.250 0.250
0.750 0.750 0.750
0.500 0.500 0.500
```

D(E_F), states/eV per atom: 0.77

---

Stability summary: most stable version a, least stable version b.

---

Version a
First-principles (GGA-PBE) data for a relaxed CaSmAlZn crystal, as listed in Alexandria via LeMat-Bulk.

The structure in POSCAR format:
```
CaSmAlZn
1.0
3.621 0.000 0.000
0.000 3.621 0.000
0.000 0.000 7.618
Ca Sm Al Zn
1 1 1 1
direct
0.000 0.000 0.000
0.000 0.000 0.508
0.500 0.500 0.258
0.500 0.500 0.752
```

D(E_F), states/eV per atom: 0.53

---

Version b
First-principles (GGA-PBE) data for a relaxed CaSmAlZn crystal, as listed in Alexandria via LeMat-Bulk.

The structure in POSCAR format:
```
CaSmAlZn
1.0
0.000 3.683 3.683
3.683 0.000 3.683
3.683 3.683 0.000
Ca Sm Al Zn
1 1 1 1
direct
0.000 0.000 0.000
0.500 0.500 0.500
0.250 0.250 0.250
0.750 0.750 0.750
```

D(E_F), states/eV per atom: 0.48

---

Stability summary: most stable version b, least stable version a.

---

Version a
First-principles (GGA-PBE) data for a relaxed Sr2Ca2Al crystal, as listed in Alexandria via LeMat-Bulk.

The structure in POSCAR format:
```
Sr2Ca2Al
1.0
8.203 0.000 0.000
0.000 8.203 0.000
0.000 0.000 6.213
Sr Ca Al
4 4 2
direct
0.177 0.323 0.000
0.323 0.823 0.000
0.677 0.177 0.000
0.823 0.677 0.000
0.153 0.653 0.500
0.347 0.153 0.500
0.653 0.847 0.500
0.847 0.347 0.500
0.000 0.000 0.500
0.500 0.500 0.500
```

D(E_F), states/eV per atom: 1.58

---

Version b
First-principles (GGA-PBE) data for a relaxed Sr2Ca2Al crystal, as listed in Alexandria via LeMat-Bulk.

The structure in POSCAR format:
```
Sr2Ca2Al
1.0
-2.346 2.346 9.731
2.346 -2.346 9.731
2.346 2.346 -9.731
Sr Ca Al
2 2 1
direct
0.250 0.750 0.500
0.750 0.250 0.500
0.085 0.085 0.000
0.915 0.915 0.000
0.500 0.500 0.000
```

D(E_F), states/eV per atom: 1.13

---

Version c
First-principles (GGA-PBE) data for a relaxed Sr2Ca2Al crystal, as listed in Alexandria via LeMat-Bulk.

The structure in POSCAR format:
```
Sr2Ca2Al
1.0
8.453 0.000 0.000
0.000 8.453 0.000
0.000 0.000 6.163
Sr Ca Al
4 4 2
direct
0.154 0.346 0.000
0.346 0.846 0.000
0.654 0.154 0.000
0.846 0.654 0.000
0.168 0.668 0.500
0.332 0.168 0.500
0.668 0.832 0.500
0.832 0.332 0.500
0.000 0.000 0.000
0.500 0.500 0.000
```

D(E_F), states/eV per atom: 1.52

---

Stability summary: most stable version a, least stable version b.